# 1
{"formula": "HfNb3I", "functional": "PBE", "state": "relaxed", "e_above_lowest_polymorph_ev_per_atom": 0.212, "dos_at_fermi_per_ev_cell": 5.46, "e_form_raw_ev_per_atom": 1.660, "lattice_angstrom": [[5.034, 0.000, 0.000], [0.000, 5.034, 0.000], [0.000, 0.000, 5.034]], "species": ["Nb", "Nb", "Nb", "Hf", "I"], "fractional_positions": [[0.500, 0.000, 0.000], [0.000, 0.000, 0.500], [0.000, 0.500, 0.000], [0.000, 0.000, 0.000], [0.500, 0.500, 0.500]]}

# 2
{"formula": "In2HgRh2", "functional": "PBE", "state": "relaxed", "e_above_lowest_polymorph_ev_per_atom": 0.287, "e_form_ev_per_fu": 0.17, "dos_at_fermi_per_ev_cell": 1.99, "lattice_angstrom": [[-2.254, -1.220, 3.286], [2.511, -3.287, 0.502], [3.632, 0.974, 5.495]], "species": ["Rh", "Rh", "In", "In", "Hg"], "fractional_positions": [[0.393, 0.393, 0.213], [0.607, 0.607, 0.787], [0.750, 0.250, 0.500], [0.250, 0.750, 0.500], [0.000, 0.000, 0.000]]}

# 3
{"formula": "PrDyCoHg", "functional": "PBE", "state": "relaxed", "e_form_ev_per_fu": -0.61, "dos_at_fermi_per_ev_cell": 3.15, "lattice_angstrom": [[5.139, 0.000, 0.000], [2.570, 4.451, 0.000], [2.570, 1.484, 4.196]], "species": ["Hg", "Pr", "Dy", "Co"], "fractional_positions": [[0.750, 0.750, 0.750], [0.500, 0.500, 0.500], [0.000, 0.000, 0.000], [0.250, 0.250, 0.250]]}

# 4
{"formula": "InReRh", "functional": "PBE", "state": "relaxed", "e_above_lowest_polymorph_ev_per_atom": 0.128, "e_form_ev_per_fu": 0.59, "dos_at_fermi_per_ev_cell": 3.36, "lattice_angstrom": [[-2.565, -1.294, -0.348], [1.873, 0.115, -2.203], [2.718, -5.927, 2.002]], "species": ["Rh", "Re", "In"], "fractional_positions": [[0.667, 0.333, 0.652], [0.333, 0.667, 0.353], [0.000, 0.000, 0.995]]}

Please write out number 4 again, unchanged.
{"formula": "InReRh", "functional": "PBE", "state": "relaxed", "e_above_lowest_polymorph_ev_per_atom": 0.128, "e_form_ev_per_fu": 0.59, "dos_at_fermi_per_ev_cell": 3.36, "lattice_angstrom": [[-2.565, -1.294, -0.348], [1.873, 0.115, -2.203], [2.718, -5.927, 2.002]], "species": ["Rh", "Re", "In"], "fractional_positions": [[0.667, 0.333, 0.652], [0.333, 0.667, 0.353], [0.000, 0.000, 0.995]]}